(1)
9
Lattice="4.392 0.000 0.940 1.972 5.657 1.518 -0.134 -0.189 11.357" Properties=species:S:1:pos:R:3 comment="Na2Tl3Bi4 (PBE, relaxed)" e_above_lowest_polymorph_mev_per_atom=0.0 pbc="T T T"
Na 4.566 4.949 10.856
Bi 1.324 3.579 4.543
Na 1.663 0.519 2.959
Bi 4.905 1.889 9.273
Tl 2.928 4.242 7.779
Tl 3.301 1.225 6.036
Tl 0.000 0.000 0.000
Bi 3.997 3.079 2.787
Bi 2.233 2.388 11.028


(2)
4
Lattice="0.000 3.862 3.862 3.862 0.000 3.862 3.862 3.862 0.000" Properties=species:S:1:pos:R:3 comment="Na2TlBi (PBE, relaxed)" e_above_lowest_polymorph_mev_per_atom=0.0 pbc="T T T"
Tl 0.000 0.000 0.000
Na 5.793 5.793 5.793
Bi 3.862 3.862 3.862
Na 1.931 1.931 1.931


(3)
8
Lattice="-4.229 0.280 3.327 2.565 -3.164 3.528 3.949 7.810 -0.001" Properties=species:S:1:pos:R:3 comment="Na4Tl3Bi (PBE, relaxed)" final_energy_ev_per_cell=-17.62 pbc="T T T"
Tl 1.283 -1.582 1.764
Tl -0.571 3.293 3.360
Na 2.346 4.792 2.579
Na 0.771 1.576 0.847
Na 1.514 3.351 6.006
Na -0.062 0.134 4.274
Bi -2.115 0.140 1.663
Tl 2.856 1.633 3.493


(4)
16
Lattice="-0.886 -4.812 -0.650 3.617 1.190 4.998 -15.079 1.347 10.592" Properties=species:S:1:pos:R:3 comment="Na3Tl3Bi2 (PBE, relaxed)" e_above_lowest_polymorph_mev_per_atom=32.9 pbc="T T T"
Tl -6.673 -2.101 5.912
Bi -11.852 -1.900 11.482
Tl -1.118 -0.680 6.553
Bi -4.183 -0.047 6.047
Tl -11.231 -1.596 8.387
Tl -12.308 0.418 13.686
Na 0.629 -3.311 4.913
Na -12.978 1.036 10.026
Tl -0.041 -2.693 1.254
Bi -0.497 -0.376 3.458
Na -3.002 -2.533 4.105
Na -9.347 0.258 10.834
Tl -5.676 -0.174 9.028
Bi -8.166 -2.229 8.892
Na -8.804 0.663 7.094
Na -3.545 -2.939 7.846


(5)
30
Lattice="7.012 0.000 0.000 0.000 7.012 0.000 0.000 0.000 22.905" Properties=species:S:1:pos:R:3 comment="Na12Tl2Bi (PBE, relaxed)" final_energy_ev_per_cell=-48.26 pbc="T T T"
Na 1.753 1.753 1.843
Na 0.000 0.000 18.315
Na 3.506 3.506 15.316
Tl 0.000 3.506 6.321
Tl 0.000 3.506 16.584
Na 0.000 0.000 4.591
Na 0.000 0.000 7.590
Na 3.506 3.506 7.590
Na 5.811 4.707 9.873
Na 1.753 5.259 21.063
Na 4.707 1.201 9.873
Na 5.259 5.259 1.843
Na 1.201 4.707 13.032
Na 5.259 5.259 21.063
Na 1.201 2.305 9.873
Na 0.000 0.000 15.316
Na 5.811 2.305 13.032
Tl 3.506 0.000 16.584
Na 4.707 5.811 13.032
Na 5.259 1.753 1.843
Na 3.506 3.506 4.591
Bi 0.000 3.506 0.000
Na 2.305 1.201 13.032
Na 3.506 3.506 18.315
Na 2.305 5.811 9.873
Na 5.259 1.753 21.063
Na 1.753 5.259 1.843
Na 1.753 1.753 21.063
Bi 3.506 0.000 0.000
Tl 3.506 0.000 6.321


(6)
4
Lattice="-0.399 3.551 0.352 -2.889 1.627 -1.378 -6.285 0.239 8.780" Properties=species:S:1:pos:R:3 comment="Na2TlBi (PBE, relaxed)" e_above_lowest_polymorph_mev_per_atom=137.9 pbc="T T T"
Bi -2.196 3.450 -0.678
Na -5.010 0.604 6.538
Na -2.372 1.360 1.901
Tl -4.782 2.709 3.869


(7)
8
Lattice="4.799 0.000 -1.295 -0.344 4.792 -1.274 0.131 0.087 10.021" Properties=species:S:1:pos:R:3 comment="Na4TlBi3 (PBE, relaxed)" final_energy_ev_per_cell=-21.39 pbc="T T T"
Bi -0.172 2.396 -0.637
Na 0.584 0.615 2.164
Na 4.002 4.265 5.288
Tl 2.399 0.000 -0.648
Na 1.774 1.869 6.573
Na 2.812 3.011 0.879
Bi 3.549 1.212 3.612
Bi 1.037 3.668 3.840


(8)
18
Lattice="-2.759 -3.888 4.524 4.376 -8.355 -4.511 8.590 2.902 2.960" Properties=species:S:1:pos:R:3 comment="Na2Tl4Bi3 (PBE, relaxed)" e_above_lowest_polymorph_mev_per_atom=76.8 pbc="T T T"
Na 3.921 -9.355 -0.874
Na 6.287 0.014 3.847
Bi 6.124 -6.769 0.305
Bi 0.000 0.000 0.000
Na 6.291 -4.571 4.682
Bi 4.745 -8.713 2.567
Tl 3.425 -5.790 1.887
Tl 10.195 -4.468 -0.008
Bi 4.083 -2.572 2.667
Na 3.917 -4.769 -1.710
Tl 1.392 -2.929 0.719
Bi 5.463 -0.628 0.405
Tl 0.012 -4.873 2.980
Tl 8.815 -6.411 2.254
Tl 3.231 -1.348 5.586
Tl 6.977 -7.993 -2.614
Tl 6.782 -3.551 1.086
Bi 0.809 -6.121 0.007


(9)
14
Lattice="6.176 0.000 0.000 0.000 7.638 -4.025 0.000 -0.364 9.336" Properties=species:S:1:pos:R:3 comment="Na2Tl4Bi (PBE, relaxed)" e_above_lowest_polymorph_mev_per_atom=0.0 pbc="T T T"
Tl 3.079 2.811 5.755
Tl 1.544 7.162 -2.134
Bi 1.544 5.506 4.158
Tl 6.167 4.463 -0.444
Tl 3.097 4.463 -0.444
Tl 4.632 0.060 3.970
Na 4.632 6.134 -3.223
Na 4.632 4.547 2.822
Bi 4.632 1.768 1.153
Tl 1.544 7.215 1.341
Na 1.544 1.140 8.534
Tl 0.009 2.811 5.755
Na 1.544 2.727 2.489
Tl 4.632 0.112 7.445


(10)
5
Lattice="1.563 4.980 -0.134 -0.688 3.100 5.445 5.640 0.992 0.907" Properties=species:S:1:pos:R:3 comment="Na2TlBi2 (PBE, relaxed)" e_above_lowest_polymorph_mev_per_atom=15.0 pbc="T T T"
Na 4.828 4.032 2.700
Tl 0.000 0.000 0.000
Bi 2.342 2.046 1.625
Bi 4.173 7.026 4.593
Na 1.687 5.040 3.519


(11)
10
Lattice="3.428 0.000 0.000 0.000 3.428 0.000 0.000 0.000 25.338" Properties=species:S:1:pos:R:3 comment="Na4TlBi5 (PBE, relaxed)" final_energy_ev_per_cell=-29.47 pbc="T T T"
Bi 1.714 1.714 12.669
Bi 1.714 1.714 17.592
Na 0.000 0.000 20.053
Bi 1.714 1.714 2.783
Bi 1.714 1.714 22.555
Bi 1.714 1.714 7.746
Na 0.000 0.000 15.134
Tl 0.000 0.000 0.000
Na 0.000 0.000 5.285
Na 0.000 0.000 10.204


(12)
15
Lattice="8.157 0.540 3.199 2.369 7.824 3.199 0.679 0.540 8.735" Properties=species:S:1:pos:R:3 comment="NaTl8Bi6 (PBE, relaxed)" final_energy_ev_per_cell=-43.12 pbc="T T T"
Bi 1.911 3.520 7.750
Bi 9.294 5.383 7.384
Bi 6.286 1.067 5.955
Tl 4.423 1.572 8.660
Tl 7.488 5.950 10.114
Bi 6.227 3.021 11.044
Tl 6.782 7.332 6.474
Tl 3.110 6.456 6.758
Tl 3.661 4.950 10.187
Tl 7.544 3.954 4.948
Bi 4.919 7.837 9.179
Tl 8.094 2.448 8.376
Na 0.000 0.000 0.000
Bi 4.978 5.883 4.090
Tl 3.717 2.953 5.020